Compound: FeTeC3
Source: Alexandria via LeMat-Bulk
Functional: PBE
Structure: relaxed

- density (g/cm³) = 5.24
- total magnetic moment (μB/atom) = 0.08
- polymorph energy (0 for the lowest one) (kJ/mol of atoms) = 127.7
- formation energy from raw total energies (eV per atom) = 3.380
- DOS(E_F) (states/eV per cell) = 9.549
- crystal system = cubic
- final energy (eV per atom) = -4.475
- V (Å³/atom) = 13.91

```
data_FeTeC3
_chemical_formula_sum 'Fe1 Te1 C3'
_symmetry_space_group_name_H-M 'P m -3 m'
_symmetry_Int_Tables_number 221
_symmetry_space_group_name_Hall '-P 4 2 3'
_cell_length_a 4.112
_cell_length_b 4.112
_cell_length_c 4.112
_cell_angle_alpha 90.00
_cell_angle_beta 90.00
_cell_angle_gamma 90.00
loop_
_atom_site_label
_atom_site_fract_x
_atom_site_fract_y
_atom_site_fract_z
Fe1 0.000 0.000 0.000
Te1 0.500 0.500 0.500
C1 0.000 0.500 0.500
```